A relaxed LiNbPd3 crystal, computed with GGA-PBE.

Structure (POSCAR):
```
LiNbPd3
1.0
-1.082 1.708 1.976
-1.982 -3.947 4.348
6.707 -1.754 7.195
Li Nb Pd
2 2 6
Cartesian
3.402 -2.097 6.904
1.446 -1.588 5.384
-1.276 -2.309 6.536
3.064 -3.616 12.074
1.510 -0.931 2.831
-1.021 -1.463 3.934
5.874 -2.223 8.352
2.868 0.555 6.337
3.343 -2.754 9.457
0.901 -2.530 7.927
```

Summary:
As for the space-group type: P-1. Its density is 8.93 g/cm3. As for the formation energy: -0.26 eV per atom. The calculation puts the energy above the lowest structure with this stoichiometry at 0 meV per atom.

***

A relaxed LiNbPd3 crystal, computed with GGA-PBE.

Structure (POSCAR):
```
LiNbPd3
1.0
-2.070 3.905 -2.064
-2.637 -2.921 -2.882
-3.543 -0.107 3.350
Nb Pd Li
1 3 1
Cartesian
0.000 0.000 0.000
-1.318 -1.460 -1.441
-1.772 -0.054 1.675
-1.035 1.952 -1.032
-4.125 0.438 -0.798
```

Summary:
As for the space-group type: Pm-3m. Its density is 6.00 g/cm3. As for the formation energy: 0.63 eV per atom. The calculation puts the energy above the lowest structure with this stoichiometry at 889 meV per atom.

***

A relaxed LiNbPd5 crystal, computed with GGA-PBE.

Structure (POSCAR):
```
LiNbPd5
1.0
5.346 0.393 1.006
2.069 4.945 1.006
3.873 2.788 10.171
Li Nb Pd
2 2 10
Cartesian
0.000 0.000 0.000
1.936 1.394 5.085
5.078 2.808 3.549
6.210 5.318 8.634
5.906 5.489 4.161
4.325 3.656 5.734
9.016 5.253 9.247
3.295 5.284 3.549
4.512 3.791 1.364
6.776 4.335 10.820
7.993 2.843 8.634
2.272 2.873 2.936
6.963 4.470 6.449
5.382 2.637 8.022
```

Summary:
As for the space-group type: C2/c. Its density is 8.98 g/cm3. As for the formation energy: -0.19 eV per atom. The calculation puts the energy above the lowest structure with this stoichiometry at 105 meV per atom.

***

A relaxed LiNbPd3 crystal, computed with GGA-PBE.

Structure (POSCAR):
```
LiNbPd3
1.0
4.253 0.000 0.000
0.000 4.253 0.000
0.000 0.000 4.253
Nb Pd Li
1 3 1
Cartesian
2.126 2.126 2.126
0.000 2.126 0.000
0.000 0.000 2.126
2.126 0.000 0.000
0.000 0.000 0.000
```

Summary:
As for the space-group type: Pm-3m. Its density is 9.05 g/cm3. As for the formation energy: 0.25 eV per atom. The calculation puts the energy above the lowest structure with this stoichiometry at 512 meV per atom.

***

A relaxed LiNb2Pd2 crystal, computed with GGA-PBE.

Structure (POSCAR):
```
LiNb2Pd2
1.0
8.043 0.000 0.000
0.000 8.043 0.000
0.000 0.000 2.789
Nb Pd Li
4 4 2
Cartesian
3.070 7.091 0.000
7.091 4.974 0.000
4.974 0.952 0.000
0.952 3.070 0.000
1.418 5.439 1.395
5.439 6.625 1.395
6.625 2.604 1.395
2.604 1.418 1.395
0.000 0.000 0.000
4.022 4.022 0.000
```

Summary:
As for the space-group type: P4/mbm. Its density is 7.46 g/cm3. As for the formation energy: -0.08 eV per atom. The calculation puts the energy above the lowest structure with this stoichiometry at 0 meV per atom.

***

A relaxed RbLiNbPd2 crystal, computed with GGA-PBE.

Structure (POSCAR):
```
RbLiNbPd2
1.0
4.987 0.000 0.000
0.000 5.513 0.000
0.000 0.000 4.987
Nb Rb Pd Li
1 1 2 1
Cartesian
0.000 0.000 0.000
2.494 2.757 2.494
0.000 0.000 2.494
2.494 0.000 0.000
0.000 2.757 0.000
```

Summary:
As for the space-group type: P4/mmm. Its density is 4.82 g/cm3. As for the formation energy: 0.65 eV per atom.

***

A relaxed Li2NbRePd crystal, computed with GGA-PBE.

Structure (POSCAR):
```
Li2NbRePd
1.0
-1.294 3.993 1.553
-4.290 -1.773 0.984
1.408 -1.136 4.093
Re Nb Pd Li
1 1 1 2
Cartesian
0.000 0.000 0.000
-2.088 0.542 3.315
-2.145 -0.886 0.492
0.704 -0.568 2.047
-0.647 1.996 0.776
```

Summary:
As for the space-group type: P4/mmm. Its density is 6.98 g/cm3. As for the formation energy: 1.50 eV per atom.

***

A relaxed Li2Nb2PdS6 crystal, computed with GGA-PBE.

Structure (POSCAR):
```
Li2Nb2PdS6
1.0
6.254 -0.231 0.143
-3.292 5.323 0.143
-0.964 -1.657 6.179
Li Nb Pd S
2 2 1 6
Cartesian
4.621 0.720 0.143
-1.658 4.373 0.143
-0.314 2.482 3.233
2.312 0.954 3.233
-0.482 -0.828 3.090
1.505 2.587 4.883
-1.752 1.008 4.528
0.494 0.849 1.583
1.742 -1.025 4.528
3.750 2.428 1.938
0.257 4.460 1.938
```

Summary:
As for the space-group type: C2/m. Its density is 4.06 g/cm3. The energy relative to the elements, uncorrected is -0.87 eV per atom.

***

Q: Which value of density does entry 3 give?
A: 8.98 g/cm3